## TaVCu (GGA-PBE)

Data for crystalline TaVCu at its relaxed geometry.

Calculated values
The calculation puts the density of states at the Fermi level at 3.7 states/eV/f.u. The formation enthalpy at 0 K comes out at 0.07 eV/atom. The value obtained for the total magnetic moment is 0.00 μB per formula unit.

Cell lengths 5.0055, 5.0055, 5.0055 Å; angles 122.69, 119.26, 88.34 degrees
Element x y z (fractional)
Ta (0.6298, 0.8798, 0.7500)
Ta (0.3702, 0.1202, 0.2500)
V (0.0000, 0.5000, 0.0000)
V (0.0000, 0.0000, 0.5000)
Cu (0.0000, 0.5000, 0.5000)
Cu (0.5000, 0.5000, 0.0000)